No. 1
Here is a geometry-optimized LaLuGaOs structure from Alexandria via LeMat-Bulk. Energies are from PBE.

```
data_LaLuGaOs
_chemical_formula_sum 'La1 Lu1 Ga1 Os1'
_cell_length_a 5.007
_cell_length_b 5.007
_cell_length_c 5.007
_cell_angle_alpha 60.00
_cell_angle_beta 60.00
_cell_angle_gamma 60.00
_symmetry_space_group_name_H-M 'P 1'
_symmetry_Int_Tables_number 1
_symmetry_space_group_name_Hall 'P 1'
loop_
_atom_site_label
_atom_site_type_symbol
_atom_site_fract_x
_atom_site_fract_y
_atom_site_fract_z
Lu1 Lu 0.000 0.000 0.000
Os1 Os 0.750 0.750 0.750
Ga1 Ga 0.250 0.250 0.250
La1 La 0.500 0.500 0.500
```

***

No. 2
Here is a geometry-optimized LaPrLuGa structure from Alexandria via LeMat-Bulk. Energies are from PBE.

```
data_LaPrLuGa
_chemical_formula_sum 'La1 Pr1 Lu1 Ga1'
_cell_length_a 5.462
_cell_length_b 5.462
_cell_length_c 5.462
_cell_angle_alpha 60.00
_cell_angle_beta 60.00
_cell_angle_gamma 60.00
_symmetry_space_group_name_H-M 'P 1'
_symmetry_Int_Tables_number 1
_symmetry_space_group_name_Hall 'P 1'
loop_
_atom_site_label
_atom_site_type_symbol
_atom_site_fract_x
_atom_site_fract_y
_atom_site_fract_z
Pr1 Pr 0.250 0.250 0.250
Lu1 Lu 0.500 0.500 0.500
Ga1 Ga 0.000 0.000 0.000
La1 La 0.750 0.750 0.750
```

***

| no. | E_form (eV/atom) | calculated total energy (eV/atom) | calculated volume (Å³ per cell) |
| --- | --- | --- | --- |
| 1 | -0.27 | -6.193 | 88.8 |
| 2 | -0.13 | -4.443 | 115.2 |